DFT (PBE) results for TiSnHgCl6 after structural relaxation.

Lattice parameters (Å, degrees): 6.8223 6.8226 8.8535 90.00 90.02 60.00
Sites, in units of the cell vectors:
Ti (0.3333, 0.3333, 0.5000)
Sn (0.6665, 0.6666, 0.5000)
Hg (0.0000, 0.0000, 0.0000)
Cl (0.0474, 0.3396, 0.3440)
Cl (0.3396, 0.0475, 0.6560)
Cl (0.6131, 0.3394, 0.6560)
Cl (0.0477, 0.6129, 0.6559)
Cl (0.3393, 0.6131, 0.3440)
Cl (0.6128, 0.0477, 0.3440)

Summary:
The calculation puts the formation energy from raw total energies at -1.18 eV/atom. The mass density is 2698 kg/m3. Its space group is P312, No. 149.